Here is an optimized crystal structure of HoErCu from Alexandria. Energies are from GGA-PBE.

## Properties
Electronic total energy (eV/f.u.): -13.66
ρ (g cm⁻³): 9.0
E above lowest polymorph (eV per atom): 0.038
Energy relative to the elements (eV/atom): -0.14

Cell lengths 3.4518, 3.4518, 12.2180 Å; angles 90.00, 90.00, 90.00 degrees
With the nearest neighbours (Å) after each atom.
Space group I4mm (No. 107)
One atom of each set of equivalent atoms:
Ho1 0.0000 0.0000 0.0000 (multiplicity 2)  4 Cu 2.99
Er1 0.0000 0.0000 0.7217 (multiplicity 2)  4 Cu 2.96
Cu1 0.0000 0.0000 0.3591 (multiplicity 2)  4 Er 2.96, 4 Ho 2.99



Here is an optimized crystal structure of La3TbDy4 from Alexandria. Energies are from GGA-PBE.

## Properties
Electronic total energy (eV/f.u.): -37.56
ρ (g cm⁻³): 7.5
E above lowest polymorph (eV per atom): 0.000
Energy relative to the elements (eV/atom): 0.03

Cell lengths 11.6334, 7.3506, 6.3464 Å; angles 90.00, 90.00, 90.00 degrees
With the nearest neighbours (Å) after each atom.
Space group Pmn2_1 (No. 31)
One atom of each set of equivalent atoms:
La1 0.0000 0.1285 0.0000 (multiplicity 2)  4 La 3.60-3.61, 6 Dy 3.62-3.73, 2 Tb 3.68-3.73
La2 0.2488 0.8753 0.8304 (multiplicity 4)  2 Tb 3.59-3.63, 4 La 3.60-3.67, 6 Dy 3.61-3.70
Tb1 0.0000 0.8688 0.4954 (multiplicity 2)  6 Dy 3.57-3.74, 6 La 3.59-3.73
Dy1 0.0000 0.3778 0.4972 (multiplicity 2)  6 Dy 3.55-3.65, 2 Tb 3.61-3.74, 4 La 3.62-3.68
Dy2 0.0000 0.6211 0.9980 (multiplicity 2)  6 Dy 3.57-3.65, 4 La 3.61-3.73, 2 Tb 3.64-3.67
Dy3 0.2478 0.6209 0.3312 (multiplicity 4)  6 Dy 3.55-3.64, 1 Tb 3.57, 5 La 3.63-3.70



Here is an optimized crystal structure of Li2TaPb from Alexandria. Energies are from GGA-PBE.

## Properties
Electronic total energy (eV/f.u.): -18.27
ρ (g cm⁻³): 8.9
Energy relative to the elements (eV/atom): 0.28

Cell lengths 4.3929, 4.4051, 7.7806 Å; angles 90.00, 90.00, 90.00 degrees
With the nearest neighbours (Å) after each atom.
Space group Cmm2 (No. 35)
One atom of each set of equivalent atoms:
Li1 0.0000 0.0000 0.0000 (multiplicity 2)  4 Li 2.75, 4 Pb 3.00
Li2 0.0000 0.5000 0.2116 (multiplicity 2)  4 Li 2.75, 4 Ta 2.89
Ta1 0.0000 0.0000 0.4525 (multiplicity 2)  4 Li 2.89, 4 Ta 3.11, 4 Pb 3.12-3.13
Pb1 0.0000 0.5000 0.7374 (multiplicity 2)  4 Li 3.00, 4 Pb 3.11, 4 Ta 3.12-3.13



Here is an optimized crystal structure of Rb3ScF6 from Alexandria. Energies are from GGA-PBE.

## Properties
ΔE_f (raw) (eV/atom): -3.2961
Electronic total energy (eV/f.u.): -53.42
ρ (g cm⁻³): 3.4

Cell lengths 6.5088, 6.5088, 9.5145 Å; angles 90.00, 90.00, 90.00 degrees
With the nearest neighbours (Å) after each atom.
Space group P4/mnc (No. 128)
One atom of each set of equivalent atoms:
Rb1 0.0000 0.0000 0.0000 (multiplicity 2)  6 F 2.71-2.76
Rb2 0.0000 0.5000 0.2500 (multiplicity 4)  4 F 2.91
Sc1 0.0000 0.0000 0.5000 (multiplicity 2)  6 F 2.04
F1 0.0000 0.0000 0.2851 (multiplicity 4)  1 Sc 2.04
F2 0.1366 0.2828 0.5000 (multiplicity 8)  1 Sc 2.04



Here is an optimized crystal structure of PuTlSn2Cl8 from Alexandria. Energies are from GGA-PBE.

## Properties
ΔE_f (raw) (eV/atom): -1.2967
Electronic total energy (eV/f.u.): -55.04
ρ (g cm⁻³): 3.9

Cell lengths 6.5856, 6.8821, 9.0420 Å; angles 87.08, 88.42, 88.31 degrees
With the nearest neighbours (Å) after each atom.
Space group P-1 (No. 2)
One atom of each set of equivalent atoms:
Pu1 0.0000 0.0000 0.0000 (multiplicity 1)  6 Cl 2.71-2.76
Tl1 0.0000 0.0000 0.5000 (multiplicity 1)  6 Cl 3.18-3.20
Sn1 0.4946 0.4874 0.7486 (multiplicity 2)  3 Cl 2.57-2.88
Cl1 0.2209 0.8195 0.7864 (multiplicity 2)  1 Pu 2.71, 1 Sn 2.90
Cl2 0.2493 0.3158 0.9633 (multiplicity 2)  1 Sn 2.74, 1 Pu 2.76
Cl3 0.2551 0.8604 0.2160 (multiplicity 2)  1 Pu 2.73, 1 Sn 2.88
Cl4 0.2811 0.3637 0.5410 (multiplicity 2)  1 Sn 2.57



Here is an optimized crystal structure of RbGeP from Alexandria. Energies are from GGA-PBE.

## Properties
Electronic total energy (eV/f.u.): -10.86
ρ (g cm⁻³): 2.4
Energy relative to the elements (eV/atom): 0.04

Cell lengths 5.2564, 5.2564, 9.3564 Å; angles 90.00, 90.00, 90.00 degrees
With the nearest neighbours (Å) after each atom.
Space group I4mm (No. 107)
One atom of each set of equivalent atoms:
Rb1 0.0000 0.0000 0.0000 (multiplicity 2)  5 Ge 3.58-3.87, 5 P 3.68-3.85
Ge1 0.0000 0.0000 0.3831 (multiplicity 2)  1 P 2.09
P1 0.0000 0.0000 0.6066 (multiplicity 2)  1 Ge 2.09